CaFeAs2O8 after structural relaxation. Source: Alexandria, functional PBE with a Hubbard U.

Its total energy is -146.6 eV/cell. The density of states at the Fermi level comes out at 18.12 states/eV per cell.

The structure belongs to space group I-4m2 (No. 119); the cell edges are 7.0316, 7.0316 and 6.2018 Å and the angles 90.00°, 90.00° and 90.00°. The distinct sites, in fractional coordinates, are Ca at (0.0000, 0.0000, 0.0000), Fe at (0.0000, 0.5000, 0.7500), As at (0.0000, 0.0000, 0.5000), As at (0.0000, 0.5000, 0.2500), O at (0.0000, 0.1938, 0.6710) and O at (0.0000, 0.3225, 0.0600).